[1]
PrNdLu2 after structural relaxation. Source: Alexandria via LeMat-Bulk, functional PBE.

Results
The value obtained for the density of states at the Fermi level is 24.9 states/eV/cell. The calculation puts the calculated formation energy at 0.079 eV per atom. The value obtained for the theoretical density is 8.06 g/cm³. The calculation puts the distance to the lowest polymorph of the same formula at 54.7 meV per atom.

Unit cell a=8.060 b=8.060 c=8.060 alpha=90.00 beta=90.00 gamma=90.00
Space group Fm-3m (No. 225)
Symmetry-distinct sites (fractional):
Pr  0.000  0.000  0.000 [4 per cell]
Nd  0.000  0.000  0.500 [4 per cell]
Lu  0.250  0.250  0.250 [8 per cell]

[2]
PrNdLuPu after structural relaxation. Source: Alexandria via LeMat-Bulk, functional PBE.

Results
The value obtained for the density of states at the Fermi level is 55.5 states/eV/cell. The calculation puts the calculated formation energy at 0.213 eV per atom. The value obtained for the theoretical density is 9.05 g/cm³.

Unit cell a=8.025 b=8.025 c=8.025 alpha=90.00 beta=90.00 gamma=90.00
Space group F-43m (No. 216)
Symmetry-distinct sites (fractional):
Pr  0.000  0.000  0.000 [4 per cell]
Nd  0.000  0.000  0.500 [4 per cell]
Lu  0.250  0.250  0.250 [4 per cell]
Pu  0.250  0.250  0.750 [4 per cell]

[3]
PrNdSmLu after structural relaxation. Source: Alexandria via LeMat-Bulk, functional PBE.

Results
The value obtained for the density of states at the Fermi level is 37.2 states/eV/cell. The calculation puts the calculated formation energy at 0.133 eV per atom. The value obtained for the theoretical density is 7.49 g/cm³.

Unit cell a=8.150 b=8.150 c=8.150 alpha=90.00 beta=90.00 gamma=90.00
Space group F-43m (No. 216)
Symmetry-distinct sites (fractional):
Pr  0.000  0.000  0.000 [4 per cell]
Nd  0.250  0.250  0.250 [4 per cell]
Sm  0.000  0.000  0.500 [4 per cell]
Lu  0.250  0.250  0.750 [4 per cell]

[4]
PrNdLuTh after structural relaxation. Source: Alexandria via LeMat-Bulk, functional PBE.

Results
The value obtained for the density of states at the Fermi level is 44.2 states/eV/cell. The calculation puts the calculated formation energy at 0.214 eV per atom. The value obtained for the theoretical density is 8.60 g/cm³.

Unit cell a=8.115 b=8.115 c=8.115 alpha=90.00 beta=90.00 gamma=90.00
Space group F-43m (No. 216)
Symmetry-distinct sites (fractional):
Pr  0.000  0.000  0.000 [4 per cell]
Nd  0.000  0.000  0.500 [4 per cell]
Lu  0.250  0.250  0.750 [4 per cell]
Th  0.250  0.250  0.250 [4 per cell]

[5]
PrNdLuTl after structural relaxation. Source: Alexandria via LeMat-Bulk, functional PBE.

Results
The value obtained for the density of states at the Fermi level is 28.0 states/eV/cell. The calculation puts the calculated formation energy at -0.077 eV per atom. The value obtained for the theoretical density is 9.01 g/cm³.

Unit cell a=7.884 b=7.884 c=7.884 alpha=90.00 beta=90.00 gamma=90.00
Space group F-43m (No. 216)
Symmetry-distinct sites (fractional):
Pr  0.000  0.000  0.000 [4 per cell]
Nd  0.000  0.000  0.500 [4 per cell]
Lu  0.250  0.250  0.750 [4 per cell]
Tl  0.250  0.250  0.250 [4 per cell]

[6]
PrNdYLu after structural relaxation. Source: Alexandria via LeMat-Bulk, functional PBE.

Results
The value obtained for the density of states at the Fermi level is 26.3 states/eV/cell. The calculation puts the calculated formation energy at 0.090 eV per atom. The value obtained for the theoretical density is 6.80 g/cm³.

Unit cell a=8.124 b=8.124 c=8.124 alpha=90.00 beta=90.00 gamma=90.00
Space group F-43m (No. 216)
Symmetry-distinct sites (fractional):
Pr  0.000  0.000  0.000 [4 per cell]
Nd  0.000  0.000  0.500 [4 per cell]
Y  0.250  0.250  0.750 [4 per cell]
Lu  0.250  0.250  0.250 [4 per cell]

[7]
PrNdLuZn after structural relaxation. Source: Alexandria via LeMat-Bulk, functional PBE.

Results
The value obtained for the density of states at the Fermi level is 17.4 states/eV/cell. The calculation puts the calculated formation energy at 0.002 eV per atom. The value obtained for the theoretical density is 7.70 g/cm³.

Unit cell a=7.682 b=7.682 c=7.682 alpha=90.00 beta=90.00 gamma=90.00
Space group F-43m (No. 216)
Symmetry-distinct sites (fractional):
Pr  0.000  0.000  0.000 [4 per cell]
Nd  0.000  0.000  0.500 [4 per cell]
Lu  0.250  0.250  0.250 [4 per cell]
Zn  0.250  0.250  0.750 [4 per cell]

[8]
NdLu2Pt after structural relaxation. Source: Alexandria via LeMat-Bulk, functional PBE.

Results
The value obtained for the density of states at the Fermi level is 16.0 states/eV/cell. The calculation puts the calculated formation energy at -0.550 eV per atom. The value obtained for the theoretical density is 9.67 g/cm³. The calculation puts the distance to the lowest polymorph of the same formula at 111.5 meV per atom.

Unit cell a=3.8237 b=3.8237 c=28.0409 alpha=90.00 beta=90.00 gamma=120.00
Space group R-3m (No. 166, hexagonal axes)
Symmetry-distinct sites (fractional):
Nd  0.0000  0.0000  0.0000 [3 per cell]
Lu  0.0000  0.0000  0.2254 [6 per cell]
Pt  0.0000  0.0000  0.5000 [3 per cell]

[9]
NdLu2Pt after structural relaxation. Source: Alexandria via LeMat-Bulk, functional PBE.

Results
The value obtained for the density of states at the Fermi level is 3.8 states/eV/cell. The calculation puts the calculated formation energy at -0.661 eV per atom. The value obtained for the theoretical density is 10.93 g/cm³. The calculation puts the distance to the lowest polymorph of the same formula at 0.0 meV per atom.

Unit cell a=3.504 b=3.504 c=8.530 alpha=90.00 beta=90.00 gamma=90.00
Space group P4/mmm (No. 123)
Symmetry-distinct sites (fractional):
Nd  0.000  0.000  0.000 [1 per cell]
Lu  0.500  0.500  0.312 [2 per cell]
Pt  0.000  0.000  0.500 [1 per cell]

[10]
Nd2LuPt after structural relaxation. Source: Alexandria via LeMat-Bulk, functional PBE.

Results
The value obtained for the density of states at the Fermi level is 5.5 states/eV/cell. The calculation puts the calculated formation energy at -0.465 eV per atom. The value obtained for the theoretical density is 9.72 g/cm³. The calculation puts the distance to the lowest polymorph of the same formula at 0.0 meV per atom.

Unit cell a=3.713 b=3.713 c=8.163 alpha=90.00 beta=90.00 gamma=90.00
Space group P4/mmm (No. 123)
Symmetry-distinct sites (fractional):
Nd  0.000  0.000  0.206 [2 per cell]
Lu  0.500  0.500  0.500 [1 per cell]
Pt  0.500  0.500  0.000 [1 per cell]

[11]
Nd2LuPt after structural relaxation. Source: Alexandria via LeMat-Bulk, functional PBE.

Results
The value obtained for the density of states at the Fermi level is 14.1 states/eV/cell. The calculation puts the calculated formation energy at -0.197 eV per atom. The value obtained for the theoretical density is 8.34 g/cm³. The calculation puts the distance to the lowest polymorph of the same formula at 268.1 meV per atom.

Unit cell a=3.7717 b=3.7717 c=31.9205 alpha=90.00 beta=90.00 gamma=120.00
Space group R-3m (No. 166, hexagonal axes)
Symmetry-distinct sites (fractional):
Nd  0.0000  0.0000  0.1077 [6 per cell]
Lu  0.0000  0.0000  0.0000 [3 per cell]
Pt  0.0000  0.0000  0.5000 [3 per cell]

[12]
NdLuPt4 after structural relaxation. Source: Alexandria via LeMat-Bulk, functional PBE.

Results
The value obtained for the density of states at the Fermi level is 8.2 states/eV/cell. The calculation puts the calculated formation energy at -1.087 eV per atom. The value obtained for the theoretical density is 15.89 g/cm³.

Unit cell a=7.717 b=7.717 c=7.717 alpha=90.00 beta=90.00 gamma=90.00
Space group F-43m (No. 216)
Symmetry-distinct sites (fractional):
Nd  0.000  0.000  0.000 [4 per cell]
Lu  0.250  0.250  0.250 [4 per cell]
Pt  0.124  0.124  0.624 [16 per cell]

[13]
NdLuPtRh after structural relaxation. Source: Alexandria via LeMat-Bulk, functional PBE.

Results
The value obtained for the density of states at the Fermi level is 6.3 states/eV/cell. The calculation puts the calculated formation energy at -0.964 eV per atom. The value obtained for the theoretical density is 12.08 g/cm³.

Unit cell a=6.976 b=6.976 c=6.976 alpha=90.00 beta=90.00 gamma=90.00
Space group F-43m (No. 216)
Symmetry-distinct sites (fractional):
Nd  0.000  0.000  0.000 [4 per cell]
Lu  0.000  0.000  0.500 [4 per cell]
Pt  0.250  0.250  0.750 [4 per cell]
Rh  0.250  0.250  0.250 [4 per cell]

[14]
NdLuSnPt after structural relaxation. Source: Alexandria via LeMat-Bulk, functional PBE.

Results
The value obtained for the density of states at the Fermi level is 6.5 states/eV/cell. The calculation puts the calculated formation energy at -0.798 eV per atom. The value obtained for the theoretical density is 10.64 g/cm³.

Unit cell a=7.337 b=7.337 c=7.337 alpha=90.00 beta=90.00 gamma=90.00
Space group F-43m (No. 216)
Symmetry-distinct sites (fractional):
Nd  0.000  0.000  0.000 [4 per cell]
Lu  0.000  0.000  0.500 [4 per cell]
Sn  0.250  0.250  0.750 [4 per cell]
Pt  0.250  0.250  0.250 [4 per cell]

[15]
NdLuZnPt after structural relaxation. Source: Alexandria via LeMat-Bulk, functional PBE.

Results
The value obtained for the density of states at the Fermi level is 12.8 states/eV/cell. The calculation puts the calculated formation energy at -0.735 eV per atom. The value obtained for the theoretical density is 10.75 g/cm³.

Unit cell a=7.102 b=7.102 c=7.102 alpha=90.00 beta=90.00 gamma=90.00
Space group F-43m (No. 216)
Symmetry-distinct sites (fractional):
Nd  0.000  0.000  0.000 [4 per cell]
Lu  0.000  0.000  0.500 [4 per cell]
Zn  0.250  0.250  0.750 [4 per cell]
Pt  0.250  0.250  0.250 [4 per cell]

[16]
NdLuPu2 after structural relaxation. Source: Alexandria via LeMat-Bulk, functional PBE.

Results
The value obtained for the density of states at the Fermi level is 13.8 states/eV/cell. The calculation puts the calculated formation energy at 0.188 eV per atom. The value obtained for the theoretical density is 11.32 g/cm³. The calculation puts the distance to the lowest polymorph of the same formula at 0.0 meV per atom.

Unit cell a=3.417 b=3.417 c=10.135 alpha=90.00 beta=90.00 gamma=90.00
Space group P4/mmm (No. 123)
Symmetry-distinct sites (fractional):
Nd  0.000  0.000  0.000 [1 per cell]
Lu  0.000  0.000  0.500 [1 per cell]
Pu  0.500  0.500  0.258 [2 per cell]

Number 1: raw total energy -73.1 eV for the cell shown. Number 2: raw total energy -110.2 eV for the cell shown. Number 3: raw total energy -73.0 eV for the cell shown. Number 4: raw total energy -82.5 eV for the cell shown. Number 5: raw total energy -67.0 eV for the cell shown. Number 6: raw total energy -80.7 eV for the cell shown. Number 7: raw total energy -61.3 eV for the cell shown. Number 8: raw total energy -66.2 eV for the cell shown. Number 9: raw total energy -22.5 eV for the cell shown. Number 10: raw total energy -22.0 eV for the cell shown. Number 11: raw total energy -62.7 eV for the cell shown. Number 12: raw total energy -159.9 eV for the cell shown. Number 13: raw total energy -106.2 eV for the cell shown. Number 14: raw total energy -90.1 eV for the cell shown. Number 15: raw total energy -78.2 eV for the cell shown. Number 16: raw total energy -37.2 eV for the cell shown.